# IrSeS2N | Alexandria | PBEsol | relaxed
data_IrSeS2N
_chemical_formula_sum 'Ir1 Se1 S2 N1'
_space_group_name_H-M_alt 'P 4/m m m'
_space_group_IT_number 123
_space_group_name_Hall '-P 4 2'
_cell_length_a 4.775
_cell_length_b 4.775
_cell_length_c 3.638
_cell_angle_alpha 90.00
_cell_angle_beta 90.00
_cell_angle_gamma 90.00
loop_
_atom_site_label
_atom_site_type_symbol
_atom_site_fract_x
_atom_site_fract_y
_atom_site_fract_z
Ir1 Ir 0.000 0.000 0.000
Se1 Se 0.500 0.500 0.500
S1 S 0.000 0.500 0.000
N1 N 0.000 0.000 0.500
# **Density of states at the Fermi level**: 0.6476 states/eV per atom
# **E_form (uncorrected)**: 0.5625 eV/atom
# **Energy**: -5.63 eV per atom

---

# SnIrSN2 | Alexandria | PBEsol | relaxed
data_SnIrSN2
_chemical_formula_sum 'Sn1 Ir1 S1 N2'
_space_group_name_H-M_alt 'P 4/m m m'
_space_group_IT_number 123
_space_group_name_Hall '-P 4 2'
_cell_length_a 3.844
_cell_length_b 3.844
_cell_length_c 5.092
_cell_angle_alpha 90.00
_cell_angle_beta 90.00
_cell_angle_gamma 90.00
loop_
_atom_site_label
_atom_site_type_symbol
_atom_site_fract_x
_atom_site_fract_y
_atom_site_fract_z
Sn1 Sn 0.000 0.000 0.000
Ir1 Ir 0.500 0.500 0.500
S1 S 0.500 0.500 0.000
N1 N 0.000 0.500 0.500
# **Density of states at the Fermi level**: 0.5271 states/eV per atom
# **E_form (uncorrected)**: 0.5950 eV/atom
# **Energy**: -6.51 eV per atom

---

# SnIrS2N | Alexandria | PBEsol | relaxed
data_SnIrS2N
_chemical_formula_sum 'Sn1 Ir1 S2 N1'
_space_group_name_H-M_alt 'P 4/m m m'
_space_group_IT_number 123
_space_group_name_Hall '-P 4 2'
_cell_length_a 4.904
_cell_length_b 4.904
_cell_length_c 3.822
_cell_angle_alpha 90.00
_cell_angle_beta 90.00
_cell_angle_gamma 90.00
loop_
_atom_site_label
_atom_site_type_symbol
_atom_site_fract_x
_atom_site_fract_y
_atom_site_fract_z
Sn1 Sn 0.000 0.000 0.000
Ir1 Ir 0.500 0.500 0.500
S1 S 0.000 0.500 0.000
N1 N 0.000 0.000 0.500
# **Density of states at the Fermi level**: 0.8411 states/eV per atom
# **E_form (uncorrected)**: 1.5716 eV/atom
# **Energy**: -4.70 eV per atom

---

# SrIrSN2 | Alexandria | PBEsol | relaxed
data_SrIrSN2
_chemical_formula_sum 'Sr1 Ir1 S1 N2'
_space_group_name_H-M_alt 'P 4/m m m'
_space_group_IT_number 123
_space_group_name_Hall '-P 4 2'
_cell_length_a 3.896
_cell_length_b 3.896
_cell_length_c 5.103
_cell_angle_alpha 90.00
_cell_angle_beta 90.00
_cell_angle_gamma 90.00
loop_
_atom_site_label
_atom_site_type_symbol
_atom_site_fract_x
_atom_site_fract_y
_atom_site_fract_z
Sr1 Sr 0.000 0.000 0.000
Ir1 Ir 0.500 0.500 0.500
S1 S 0.500 0.500 0.000
N1 N 0.000 0.500 0.500
# **Density of states at the Fermi level**: 0.3910 states/eV per atom
# **E_form (uncorrected)**: -0.1319 eV/atom
# **Energy**: -6.75 eV per atom

---

| no. | calculated volume (Å³/cell) |
| --- | --- |
| 1 | 83 |
| 2 | 75 |
| 3 | 92 |
| 4 | 77 |